The following is a GGA-PBE calculation of a geometry-optimized Dy2AgSe structure, from the Alexandria database.

It has space group Cmcm (No. 63), with a = 4.067 Å, b = 23.281 Å, c = 4.166 Å, α = 90.00°, β = 90.00° and γ = 90.00°. The inequivalent atoms are Dy at (0.000, 0.070, 0.250), Dy at (0.000, 0.316, 0.250), Ag at (0.000, 0.457, 0.250) and Se at (0.000, 0.194, 0.250).

As for the mass density: 8.62 g cm⁻³. As for the density of states at the Fermi level: 7.454 states/eV per cell. The final energy comes out at -19.66 eV/f.u. The energy above the most stable polymorph in this dataset is 0.0 meV per atom.